# TlV3Pt | Alexandria via LeMat-Bulk | PBE-GGA | optimized geometry
# * ΔE to the lowest computed polymorph: 0 meV/atom
# * energy of formation from the pure elements: 0.9244 eV per atom
data_TlV3Pt
_cell_length_a 4.690
_cell_length_b 4.690
_cell_length_c 4.690
_cell_angle_alpha 90.00
_cell_angle_beta 90.00
_cell_angle_gamma 90.00
_space_group_name_H-M_alt 'P m -3 m'
_space_group_IT_number 221
_space_group_name_Hall '-P 4 2 3'
loop_
_atom_site_label
_atom_site_type_symbol
_atom_site_fract_x
_atom_site_fract_y
_atom_site_fract_z
Tl1 Tl 0.000 0.000 0.000
V1 V 0.000 0.500 0.500
Pt1 Pt 0.500 0.500 0.500